No. 1
Compound: CsLiYI5
Source: the Alexandria database
Functional: GGA-PBE
Structure: relaxed

Cell lengths 8.6950, 8.6950, 11.5654 Å; angles 103.46, 103.46, 106.86 degrees
With the nearest neighbours (Å) after each atom.
Atoms (fractional coordinates):
Cs (0.3458, 0.6542, 0.2500)  7 I 3.85-4.28
Cs (0.6542, 0.3458, 0.7500)  7 I 3.85-4.28
Li (0.6929, 0.3071, 0.2500)  4 I 2.79-2.86
Li (0.3071, 0.6929, 0.7500)  4 I 2.79-2.86
Y (0.0000, 0.0000, 0.5000)  6 I 3.04-3.05
Y (0.0000, 0.0000, 0.0000)  6 I 3.04-3.05
I (0.0702, 0.9298, 0.2500)  2 Y 3.05
I (0.9298, 0.0702, 0.7500)  2 Y 3.05
I (0.9013, 0.3008, 0.1000)  1 Li 2.79, 1 Y 3.04
I (0.0987, 0.6992, 0.9000)  1 Li 2.79, 1 Y 3.04
I (0.6992, 0.0987, 0.4000)  1 Li 2.79, 1 Y 3.04
I (0.3008, 0.9013, 0.6000)  1 Li 2.79, 1 Y 3.04
I (0.7691, 0.6309, 0.4269)  1 Li 2.86, 1 Y 3.04
I (0.2309, 0.3691, 0.5731)  1 Li 2.86, 1 Y 3.04
I (0.3691, 0.2309, 0.0731)  1 Li 2.86, 1 Y 3.04
I (0.6309, 0.7691, 0.9269)  1 Li 2.86, 1 Y 3.04

Summary:
* raw formation energy: -1.386 eV per atom
* DOS(E_F): 0.000 states/eV per atom
* uncorrected energy: -0.1289 Ha/atom

***

No. 2
Compound: As2Pb3Cl
Source: the Alexandria database
Functional: GGA-PBE
Structure: relaxed

Cell lengths 4.2778, 7.5155, 11.3124 Å; angles 103.98, 90.00, 90.00 degrees
With the nearest neighbours (Å) after each atom.
Atoms (fractional coordinates):
As (0.2500, 0.7475, 0.4956)  6 Pb 2.93-3.03
As (0.7500, 0.2525, 0.5044)  6 Pb 2.93-3.03
As (0.7500, 0.0164, 0.8294)  6 Pb 2.95-3.15
As (0.2500, 0.9836, 0.1706)  6 Pb 2.95-3.15
Pb (0.7500, 0.6499, 0.6457)  4 As 2.93-3.03
Pb (0.2500, 0.3501, 0.3543)  4 As 2.93-3.03
Pb (0.7500, 0.8759, 0.3459)  5 As 2.96-3.15, 1 Cl 3.20
Pb (0.2500, 0.1241, 0.6541)  5 As 2.96-3.15, 1 Cl 3.20
Pb (0.2500, 0.2095, 0.9897)  3 As 2.95-2.96, 3 Cl 3.26-3.30
Pb (0.7500, 0.7905, 0.0103)  3 As 2.95-2.96, 3 Cl 3.26-3.30
Cl (0.2500, 0.5260, 0.8323)  6 Pb 3.20-3.30
Cl (0.7500, 0.4740, 0.1677)  6 Pb 3.20-3.30

Summary:
* raw formation energy: -0.270 eV per atom
* DOS(E_F): 0.321 states/eV per atom
* uncorrected energy: -0.1463 Ha/atom

***

No. 3
Compound: CaRh4Au2
Source: the Alexandria database
Functional: GGA-PBE
Structure: relaxed

Cell lengths 4.7749, 4.7749, 7.4370 Å; angles 71.28, 71.28, 90.00 degrees
With the nearest neighbours (Å) after each atom.
Atoms (fractional coordinates):
Rh (0.7985, 0.7985, 0.4030)  1 Au 2.56, 1 Ca 2.67
Rh (0.2015, 0.2015, 0.5970)  1 Au 2.56, 1 Ca 2.67
Rh (0.0000, 0.5000, 0.0000)  2 Ca 2.39
Rh (0.5000, 0.0000, 0.0000)  2 Ca 2.39
Ca (0.0000, 0.0000, 0.0000)  6 Rh 2.39-2.67
Au (0.6051, 0.6051, 0.7898)  5 Rh 2.56-2.76, 1 Au 2.79
Au (0.3949, 0.3949, 0.2102)  5 Rh 2.56-2.76, 1 Au 2.79

Summary:
* energy of formation: 8.31 eV/f.u.
* DOS(E_F): 1.953 states/eV per atom
* uncorrected energy: -0.1557 Ha/atom

***

No. 4
Compound: ErTm2Au4
Source: the Alexandria database
Functional: GGA-PBE
Structure: relaxed

Cell lengths 6.0374, 6.0374, 6.0374 Å; angles 109.65, 109.38, 109.38 degrees
With the nearest neighbours (Å) after each atom.
Atoms (fractional coordinates):
Tm (0.5000, 0.5000, 0.0000)  8 Au 3.02
Tm (0.5000, 0.0000, 0.5000)  8 Au 3.02
Au (0.5000, 0.0000, 0.0000)  4 Tm 3.02, 2 Er 3.02
Au (0.5000, 0.5000, 0.5000)  4 Tm 3.02, 2 Er 3.02
Au (0.0000, 0.0000, 0.5000)  4 Tm 3.02, 2 Er 3.02
Au (0.0000, 0.5000, 0.0000)  2 Er 3.02, 4 Tm 3.02
Er (0.0000, 0.0000, 0.0000)  8 Au 3.02

Summary:
* energy of formation: -4.86 eV/f.u.
* DOS(E_F): 0.757 states/eV per atom
* uncorrected energy: -0.1652 Ha/atom

***

No. 5
Compound: Li2Br
Source: the Alexandria database
Functional: GGA-PBE
Structure: relaxed

Cell lengths 7.0315, 7.0315, 6.3594 Å; angles 63.34, 63.34, 30.53 degrees
With the nearest neighbours (Å) after each atom.
Atoms (fractional coordinates):
Li (0.3876, 0.3876, 0.9396)  4 Br 2.69-2.71, 2 Li 2.94-3.01
Li (0.3610, 0.3610, 0.5056)  4 Br 2.62-2.68
Li (0.0726, 0.0726, 0.3695)  1 Br 2.59
Li (0.6375, 0.6375, 0.6608)  1 Br 2.54
Br (0.9409, 0.9409, 0.1768)  5 Li 2.59-2.69
Br (0.7670, 0.7670, 0.8476)  5 Li 2.54-2.71

Summary:
* raw formation energy: -0.824 eV per atom
* DOS(E_F): 0.105 states/eV per atom
* uncorrected energy: -0.0976 Ha/atom

***

No. 6
Compound: Pa2Be3FeSi4
Source: the Alexandria database
Functional: GGA-PBE
Structure: relaxed

Cell lengths 3.9652, 3.9652, 9.1314 Å; angles 90.00, 90.00, 90.00 degrees
With the nearest neighbours (Å) after each atom.
Atoms (fractional coordinates):
Pa (0.5000, 0.0000, 0.2572)  2 Fe 2.97, 6 Be 2.97-3.04, 8 Si 3.00-3.07
Pa (0.0000, 0.5000, 0.7428)  2 Fe 2.97, 6 Be 2.97-3.04, 8 Si 3.00-3.07
Be (0.0000, 0.0000, 0.5000)  4 Si 2.30
Be (0.5000, 0.0000, 0.8723)  5 Si 2.24-2.30
Be (0.0000, 0.5000, 0.1277)  5 Si 2.24-2.30
Fe (0.5000, 0.5000, 0.5000)  4 Si 2.30
Si (0.5000, 0.5000, 0.0000)  4 Be 2.30
Si (0.0000, 0.0000, 0.0000)  4 Be 2.30
Si (0.5000, 0.0000, 0.6273)  3 Be 2.24-2.30, 2 Fe 2.30
Si (0.0000, 0.5000, 0.3727)  3 Be 2.24-2.30, 2 Fe 2.30

Summary:
* raw formation energy: -0.423 eV per atom
* DOS(E_F): 0.565 states/eV per atom
* uncorrected energy: -0.2372 Ha/atom